First-principles (PBE+U) data for a geometry-optimized Fe2PbF8 structure, as listed in Alexandria via LeMat-Bulk.

Geometry as extended XYZ:
```
11
Lattice="6.3955 0.0000 0.0000 0.0000 5.6598 -3.2677 0.0000 0.0000 6.5353" Properties=species:S:1:pos:R:3 pbc="T T T"
Pb 3.1977 0.0000 0.0000
Fe 5.2424 3.7732 0.0000
Fe 1.1531 1.8866 3.2677
F 5.7431 1.8866 3.2677
F 0.6524 3.7732 0.0000
F 1.8175 1.0204 1.7674
F 4.5780 4.6394 1.5003
F 4.5780 2.0408 0.0000
F 1.8175 3.6190 3.2677
F 1.8175 1.0204 4.7680
F 4.5780 4.6394 -1.5003
```

Summary:
M_tot   10.00 μB per cell
VASP energy   -5.057 eV/atom